1.
Entry from OQMD: an optimized crystal structure of NdTa2 (PBE).

## Properties
* final energy: -4.987 eV per atom
* magnetization: 0.01 μB per formula unit
* mass density: 3.640 g/cm3
* energy relative to the lowest polymorph listed for this composition: 4167 meV/atom
* DFT formation energy: 4.50 eV per atom

a = 12.2692 Å, b = 12.2692 Å, c = 12.2692 Å
α = 90.00°, β = 90.00°, γ = 90.00°
Last column: nearest neighbours and their distance in Å.
Space group Fd-3m (No. 227, origin choice 2)
One atom of each set of equivalent atoms:
Nd  0.1250  0.1250  0.1250 x8  4 Ta 2.66
Ta  0.0000  0.0000  0.0000 x16  2 Nd 2.66

=====

2.
Entry from OQMD: an optimized crystal structure of Ba2BeTc (PBE).

## Properties
* final energy: -3.404 eV per atom
* magnetization: 1.00 μB per formula unit
* mass density: 6.270 g/cm3

a = 7.3945 Å, b = 7.3945 Å, c = 7.3945 Å
α = 90.00°, β = 90.00°, γ = 90.00°
Last column: nearest neighbours and their distance in Å.
Space group F-43m (No. 216)
One atom of each set of equivalent atoms:
Ba  0.0000  0.0000  0.0000 x4  4 Be 3.20, 4 Ba 3.20
Ba  0.2500  0.2500  0.2500 x4  4 Ba 3.20, 4 Tc 3.20
Be  0.2500  0.2500  0.7500 x4  4 Ba 3.20, 4 Tc 3.20
Tc  0.0000  0.0000  0.5000 x4  4 Ba 3.20, 4 Be 3.20

=====

3.
Entry from OQMD: an optimized crystal structure of Dy3Lu4Te2Ir2 (PBE).

## Properties
* final energy: -6.001 eV per atom
* magnetization: 0.02 μB per formula unit
* mass density: 10.624 g/cm3
* energy relative to the lowest polymorph listed for this composition: 25 meV/atom

a = 3.9044 Å, b = 15.6091 Å, c = 9.3712 Å
α = 90.00°, β = 90.00°, γ = 90.00°
Last column: nearest neighbours and their distance in Å.
Space group Imm2 (No. 44)
One atom of each set of equivalent atoms:
Dy  0.0000  0.0000  0.0000 x2  3 Te 3.15-3.18
Dy  0.0000  0.3160  0.3711 x4  3 Ir 2.85-3.05, 1 Te 3.15
Lu  0.0000  0.1320  0.5809 x4  2 Ir 2.80, 1 Te 3.08
Lu  0.0000  0.3517  0.7319 x4  2 Ir 2.85, 2 Te 3.18
Te  0.0000  0.0000  0.3362 x2  6 Lu 3.08-3.18, 1 Dy 3.15
Te  0.0000  0.5000  0.2321 x2  4 Dy 3.15-3.18, 4 Lu 3.17
Ir  0.0000  0.2397  0.0716 x4  4 Lu 2.80-2.85, 3 Dy 2.85-3.05

=====

4.
Entry from OQMD: an optimized crystal structure of InSnMo (PBE).

## Properties
* final energy: -5.296 eV per atom
* magnetization: 1.46 μB per formula unit
* mass density: 7.633 g/cm3
* energy relative to the lowest polymorph listed for this composition: 0 meV/atom

a = 6.5940 Å, b = 6.5940 Å, c = 6.5940 Å
α = 90.00°, β = 90.00°, γ = 90.00°
Last column: nearest neighbours and their distance in Å.
Space group F-43m (No. 216)
One atom of each set of equivalent atoms:
In  0.0000  0.0000  0.0000 x4  4 Mo 2.86
Sn  0.0000  0.0000  0.5000 x4  4 Mo 2.86
Mo  0.2500  0.2500  0.2500 x4  4 In 2.86, 4 Sn 2.86

=====

5.
Entry from OQMD: an optimized crystal structure of LuScSi4Ni2 (PBE).

## Properties
* final energy: -6.228 eV per atom
* magnetization: 0.00 μB per formula unit
* mass density: 6.105 g/cm3

a = 3.8662 Å, b = 3.8194 Å, c = 16.5656 Å
α = 90.00°, β = 90.00°, γ = 90.00°
Last column: nearest neighbours and their distance in Å.
Space group Amm2 (No. 38)
One atom of each set of equivalent atoms:
Lu  0.0000  0.0000  0.0000 x2  10 Si 2.93-3.12, 4 Ni 2.95
Sc  0.5000  0.0000  0.7928 x2  10 Si 2.90-3.11, 4 Ni 2.96
Si  0.0000  0.0000  0.3545 x2  1 Ni 2.20, 2 Si 2.34
Si  0.0000  0.0000  0.6459 x2  4 Ni 2.29-2.32
Si  0.5000  0.0000  0.1475 x2  4 Ni 2.29-2.31
Si  0.5000  0.0000  0.4338 x2  1 Ni 2.24, 2 Si 2.34
Ni  0.0000  0.0000  0.2218 x2  5 Si 2.20-2.29
Ni  0.5000  0.0000  0.5688 x2  5 Si 2.24-2.32

=====

6.
Entry from OQMD: an optimized crystal structure of CsTlW (PBE).

## Properties
* final energy: -3.413 eV per atom
* magnetization: 2.08 μB per formula unit
* mass density: 9.067 g/cm3

a = 7.2544 Å, b = 7.2544 Å, c = 7.2544 Å
α = 90.00°, β = 90.00°, γ = 90.00°
Last column: nearest neighbours and their distance in Å.
Space group F-43m (No. 216)
One atom of each set of equivalent atoms:
Cs  0.0000  0.0000  0.0000 x4  4 W 3.14
Tl  0.0000  0.0000  0.5000 x4  4 W 3.14
W  0.2500  0.2500  0.2500 x4  4 Tl 3.14, 4 Cs 3.14

=====

7.
Entry from OQMD: an optimized crystal structure of HgBi2W (PBE).

## Properties
* final energy: -4.227 eV per atom
* magnetization: 1.80 μB per formula unit
* mass density: 13.875 g/cm3

a = 7.2692 Å, b = 7.2692 Å, c = 7.2692 Å
α = 90.00°, β = 90.00°, γ = 90.00°
Last column: nearest neighbours and their distance in Å.
Space group F-43m (No. 216)
One atom of each set of equivalent atoms:
Hg  0.0000  0.0000  0.0000 x4  4 Bi 3.15, 4 W 3.15
Bi  0.0000  0.0000  0.5000 x4  4 W 3.15, 4 Bi 3.15
Bi  0.2500  0.2500  0.7500 x4  4 Hg 3.15, 4 Bi 3.15
W  0.2500  0.2500  0.2500 x4  4 Hg 3.15, 4 Bi 3.15

=====

8.
Entry from OQMD: an optimized crystal structure of MgScSnIr (PBE).

## Properties
* final energy: -5.651 eV per atom
* magnetization: 0.00 μB per formula unit
* mass density: 8.471 g/cm3
* energy relative to the lowest polymorph listed for this composition: 79 meV/atom

a = 6.6802 Å, b = 6.6802 Å, c = 6.6802 Å
α = 90.00°, β = 90.00°, γ = 90.00°
Last column: nearest neighbours and their distance in Å.
Space group F-43m (No. 216)
One atom of each set of equivalent atoms:
Mg  0.0000  0.0000  0.0000 x4  4 Sn 2.89, 4 Ir 2.89
Sc  0.0000  0.0000  0.5000 x4  4 Sn 2.89, 4 Ir 2.89
Sn  0.2500  0.2500  0.2500 x4  4 Mg 2.89, 4 Sc 2.89
Ir  0.2500  0.2500  0.7500 x4  4 Mg 2.89, 4 Sc 2.89

=====

9.
Entry from OQMD: an optimized crystal structure of U3As2Se (PBE).

## Properties
* final energy: -8.599 eV per atom
* magnetization: 7.76 μB per formula unit
* mass density: 10.881 g/cm3

a = 4.1682 Å, b = 5.7696 Å, c = 11.9672 Å
α = 90.00°, β = 90.00°, γ = 90.00°
Last column: nearest neighbours and their distance in Å.
Space group Immm (No. 71)
One atom of each set of equivalent atoms:
U  0.0000  0.0000  0.0000 x2  4 As 2.88, 2 Se 2.88
U  0.0000  0.0000  0.3320 x4  4 As 2.88, 2 Se 2.90
As  0.0000  0.5000  0.3337 x4  6 U 2.88
Se  0.0000  0.5000  0.0000 x2  6 U 2.88-2.90

=====

10.
Entry from OQMD: an optimized crystal structure of Al2CdSe4 (PBE).

## Properties
* final energy: -3.877 eV per atom
* mass density: 4.914 g/cm3

a = 7.7645 Å, b = 7.7645 Å, c = 10.8120 Å
α = 90.00°, β = 90.00°, γ = 90.00°
Last column: nearest neighbours and their distance in Å.
Space group P4_122 (No. 91)
One atom of each set of equivalent atoms:
Al  0.0000  0.2551  0.0000 x4  6 Se 2.58-2.60
Al  0.2396  0.2396  0.3750 x4  4 Se 2.44-2.48
Cd  0.2564  0.5000  0.7500 x4  6 Se 2.76-2.81
Se  0.0157  0.2339  0.7624 x8  3 Al 2.48-2.60
Se  0.2338  0.4911  0.0095 x8  2 Al 2.44-2.58

=====

11.
Entry from OQMD: an optimized crystal structure of GdBrO (PBE).

## Properties
* final energy: -6.682 eV per atom
* magnetization: 0.00 μB per formula unit
* mass density: 6.473 g/cm3

a = 3.8688 Å, b = 3.8688 Å, c = 8.6774 Å
α = 90.00°, β = 90.00°, γ = 90.00°
Last column: nearest neighbours and their distance in Å.
Space group P4/nmm (No. 129, origin choice 2)
One atom of each set of equivalent atoms:
Gd  0.2500  0.2500  0.1337 x2  4 O 2.26
Br  0.2500  0.2500  0.6767 x2  4 Gd 3.19, 4 O 3.41
O  0.2500  0.7500  0.0000 x2  4 Gd 2.26

=====

12.
Entry from OQMD: an optimized crystal structure of Cd3AgN (PBE).

## Properties
* final energy: -2.361 eV per atom
* mass density: 7.964 g/cm3

a = 6.6675 Å, b = 6.6675 Å, c = 14.9178 Å
α = 90.00°, β = 90.00°, γ = 120.00°
Last column: nearest neighbours and their distance in Å.
Space group R-3c (No. 167, hexagonal axes)
One atom of each set of equivalent atoms:
Cd  0.0000  0.4252  0.2500 x18  2 N 2.34
Ag  0.0000  0.0000  0.2500 x6  3 Cd 2.84
N  0.0000  0.0000  0.0000 x6  6 Cd 2.34

=====

Question: Look up the final energy of the sixth one.
Answer: -3.413 eV per atom